Entry 1:
A relaxed MnVAsO6 crystal, computed with PBE+U.

Values from the calculation:
volume	199.2	Å³/cell
final energy	-7.0450	eV per atom
symmetry	No. 163
crystal system	trigonal
total magnetization	5.0	μB/f.u.

Unit cell a=4.9475 b=4.9475 c=9.3974 alpha=90.00 beta=90.00 gamma=120.00
Closest atoms and distances in Å follow each position.
Positions (direct):
O (0.6358, 0.0066, 0.3601)  1 As 1.86, 1 V 1.90
O (0.3707, 0.0066, 0.1399)  1 As 1.86, 1 V 1.90
O (0.9934, 0.3641, 0.1399)  1 As 1.86, 1 V 1.90
O (0.3641, 0.9934, 0.6399)  1 As 1.86, 1 V 1.90
O (0.6293, 0.9934, 0.8601)  1 As 1.86, 1 V 1.90
O (0.6358, 0.6293, 0.1399)  1 As 1.86, 1 V 1.90
O (0.6293, 0.6359, 0.6399)  1 As 1.86, 1 V 1.90
O (0.3641, 0.3707, 0.8601)  1 As 1.86, 1 V 1.90
O (0.3707, 0.3641, 0.3601)  1 As 1.86, 1 V 1.90
O (0.0066, 0.3707, 0.6399)  1 As 1.86, 1 V 1.90
O (0.9934, 0.6293, 0.3601)  1 As 1.86, 1 V 1.90
O (0.0066, 0.6359, 0.8601)  1 As 1.86, 1 V 1.90
As (0.3333, 0.6667, 0.7500)  6 O 1.86
As (0.6667, 0.3333, 0.2500)  6 O 1.86
Mn (0.0000, 0.0000, 0.5000)  6 O 2.24
Mn (0.0000, 0.0000, 0.0000)  6 O 2.24
V (0.3333, 0.6667, 0.2500)  6 O 1.90
V (0.6667, 0.3333, 0.7500)  6 O 1.90

---

Entry 2:
A relaxed MnVAs2O8 crystal, computed with PBE+U.

Values from the calculation:
volume	156.5	Å³/cell
final energy	-6.6770	eV per atom
symmetry	No. 164
crystal system	trigonal
total magnetization	5.9	μB/f.u.

Unit cell a=5.4334 b=5.4334 c=6.1205 alpha=90.00 beta=90.00 gamma=120.00
Closest atoms and distances in Å follow each position.
Positions (direct):
Mn (0.0000, 0.0000, 0.5000)  6 O 2.34
O (0.3333, 0.6667, 0.4351)  1 As 1.66
O (0.1581, 0.8419, 0.7959)  1 As 1.74, 1 V 1.94
O (0.3162, 0.1581, 0.2041)  1 As 1.74, 1 V 1.94
O (0.8419, 0.1581, 0.2041)  1 As 1.74, 1 V 1.94
O (0.8419, 0.6838, 0.2041)  1 As 1.74, 1 V 1.94
O (0.6838, 0.8419, 0.7959)  1 As 1.74, 1 V 1.94
O (0.6667, 0.3333, 0.5649)  1 As 1.66
O (0.1581, 0.3162, 0.7959)  1 As 1.74, 1 V 1.94
As (0.6667, 0.3333, 0.2935)  4 O 1.66-1.74
As (0.3333, 0.6667, 0.7065)  4 O 1.66-1.74
V (0.0000, 0.0000, 0.0000)  6 O 1.94

---

Entry 3:
A relaxed Mn2VAsO6 crystal, computed with PBE+U.

Values from the calculation:
volume	115.9	Å³/cell
final energy	-7.1252	eV per atom
symmetry	No. 1
crystal system	triclinic
total magnetization	8.0	μB/f.u.

Unit cell a=5.1010 b=5.0812 c=5.9060 alpha=65.28 beta=64.50 gamma=60.36
Closest atoms and distances in Å follow each position.
Positions (direct):
O (0.5839, 0.2273, 0.2760)  1 As 1.87, 1 Mn 2.06
O (0.2290, 0.9063, 0.2782)  1 As 1.90, 1 Mn 2.03, 1 V 2.10
O (0.1002, 0.4535, 0.7005)  1 V 1.85, 1 Mn 1.97
O (0.4547, 0.7241, 0.7174)  1 V 1.92, 2 Mn 1.95-2.10
O (0.7388, 0.1021, 0.6999)  1 V 1.80, 1 Mn 2.00
O (0.9095, 0.5962, 0.2736)  1 As 1.90, 1 Mn 2.08, 1 V 2.11
As (0.2901, 0.2897, 0.1312)  3 O 1.87-1.90
V (0.8240, 0.8218, 0.5414)  3 O 1.80-1.92
Mn (0.4993, 0.5113, 0.4873)  6 O 1.95-2.08
Mn (0.0321, 0.0293, 0.9097)  3 O 2.10-2.14

---

Entry 4:
A relaxed YMn2AsO crystal, computed with PBE+U.

Values from the calculation:
volume	101.0	Å³/cell
final energy	-5.9647	eV per atom
symmetry	No. 123
crystal system	tetragonal
total magnetization	7.5	μB/f.u.

Unit cell a=4.9404 b=4.1370 c=4.9404 alpha=90.00 beta=90.00 gamma=90.00
Closest atoms and distances in Å follow each position.
Positions (direct):
Mn (0.5000, 0.0000, 0.0000)  2 As 2.47
Mn (0.0000, 0.0000, 0.5000)  2 As 2.47
As (0.0000, 0.0000, 0.0000)  2 O 2.07
Y (0.5000, 0.5000, 0.5000)  8 Mn 3.22, 4 O 3.49
O (0.0000, 0.5000, 0.0000)  2 As 2.07

---

Entry 5:
A relaxed MnZnAs2O8 crystal, computed with PBE+U.

Values from the calculation:
volume	140.4	Å³/cell
final energy	-5.8342	eV per atom
symmetry	No. 119
crystal system	tetragonal
total magnetization	3.0	μB/f.u.

Unit cell a=5.6745 b=5.6745 c=5.6745 alpha=108.14 beta=108.14 gamma=112.16
Closest atoms and distances in Å follow each position.
Positions (direct):
O (0.9368, 0.2484, 0.3116)  1 As 1.72
O (0.3748, 0.0632, 0.3116)  1 As 1.72
O (0.7516, 0.0632, 0.6884)  1 As 1.72
O (0.8750, 0.6850, 0.1901)  1 As 1.72
O (0.3150, 0.1250, 0.8099)  1 As 1.72
O (0.9368, 0.6252, 0.6884)  1 As 1.72
O (0.3150, 0.5051, 0.1901)  1 As 1.72
O (0.4949, 0.6850, 0.8099)  1 As 1.72
As (0.7500, 0.2500, 0.5000)  4 O 1.72
As (0.5000, 0.5000, 0.0000)  4 O 1.72
Mn (0.2500, 0.7500, 0.5000)  8 O 2.10-2.35
Zn (0.0000, 0.0000, 0.0000)  8 O 2.11-2.36

---

Entry 6:
A relaxed MnZnAs2O6 crystal, computed with PBE+U.

Values from the calculation:
volume	307.5	Å³/cell
final energy	-5.8880	eV per atom
symmetry	No. 15
crystal system	monoclinic
total magnetization	3.0	μB/f.u.

Unit cell a=5.0987 b=8.0393 c=8.0393 alpha=98.35 beta=77.46 gamma=77.46
Closest atoms and distances in Å follow each position.
Positions (direct):
O (0.6346, 0.8331, 0.9392)  1 As 1.87, 1 Mn 1.97
O (0.0078, 0.3062, 0.3894)  2 As 1.80-1.84
O (0.6314, 0.0892, 0.7178)  1 Mn 1.82, 1 Zn 1.87
O (0.1314, 0.7178, 0.0892)  1 Mn 1.82, 1 Zn 1.87
O (0.4922, 0.6106, 0.6938)  2 As 1.80-1.84
O (0.8654, 0.0608, 0.1669)  1 As 1.87, 1 Mn 1.97
O (0.9922, 0.6938, 0.6106)  2 As 1.80-1.84
O (0.3686, 0.9108, 0.2822)  1 Mn 1.82, 1 Zn 1.87
O (0.3654, 0.1669, 0.0608)  1 As 1.87, 1 Mn 1.97
O (0.8686, 0.2822, 0.9108)  1 Mn 1.82, 1 Zn 1.87
O (0.1346, 0.9392, 0.8331)  1 As 1.87, 1 Mn 1.97
O (0.5078, 0.3894, 0.3062)  2 As 1.80-1.84
Mn (0.2500, 0.9159, 0.0841)  4 O 1.82-1.97
Mn (0.7500, 0.0841, 0.9159)  4 O 1.82-1.97
As (0.7179, 0.2134, 0.3821)  3 O 1.80-1.87
As (0.2821, 0.7866, 0.6179)  3 O 1.80-1.87
As (0.2179, 0.3821, 0.2134)  3 O 1.80-1.87
As (0.7821, 0.6179, 0.7866)  3 O 1.80-1.87
Zn (0.2500, 0.1883, 0.8117)  2 O 1.87
Zn (0.7500, 0.8117, 0.1883)  2 O 1.87

---

Entry 7:
A relaxed Mn3Zn3As4O16 crystal, computed with PBE+U.

Values from the calculation:
volume	705.3	Å³/cell
final energy	-6.1725	eV per atom
symmetry	No. 14
crystal system	monoclinic
total magnetization	15.0	μB/f.u.

Unit cell a=5.4018 b=8.6053 c=15.5311 alpha=102.33 beta=90.00 gamma=90.00
Closest atoms and distances in Å follow each position.
Positions (direct):
As (0.9759, 0.3076, 0.8923)  4 O 1.69-1.78
As (0.9961, 0.3855, 0.3568)  4 O 1.69-1.76
As (0.4961, 0.1145, 0.1432)  4 O 1.69-1.76
As (0.5241, 0.8076, 0.3923)  4 O 1.69-1.78
As (0.0241, 0.6924, 0.1077)  4 O 1.69-1.78
As (0.5039, 0.8855, 0.8568)  4 O 1.69-1.76
As (0.4759, 0.1924, 0.6077)  4 O 1.69-1.78
As (0.0039, 0.6145, 0.6432)  4 O 1.69-1.76
O (0.1813, 0.5086, 0.4285)  1 As 1.69
O (0.0794, 0.8207, 0.2044)  1 As 1.69
O (0.7525, 0.5867, 0.0985)  1 As 1.72
O (0.2525, 0.9133, 0.4015)  1 As 1.72
O (0.9147, 0.8147, 0.6552)  1 As 1.76
O (0.9034, 0.2375, 0.9850)  1 As 1.72
O (0.7368, 0.9660, 0.3934)  1 As 1.78
O (0.6827, 0.3822, 0.3790)  1 As 1.73
O (0.4034, 0.2625, 0.5150)  1 As 1.72
O (0.7475, 0.0867, 0.5985)  1 As 1.72
O (0.1827, 0.1178, 0.1210)  1 As 1.73
O (0.4376, 0.9326, 0.7552)  1 As 1.75
O (0.9376, 0.5674, 0.7448)  1 As 1.75
O (0.8173, 0.8822, 0.8790)  1 As 1.73
O (0.0966, 0.7625, 0.0150)  1 As 1.72
O (0.5966, 0.7375, 0.4850)  1 As 1.72
O (0.0624, 0.4326, 0.2552)  1 As 1.75
O (0.4206, 0.3207, 0.7044)  1 As 1.69
O (0.2632, 0.0340, 0.6066)  1 As 1.78
O (0.8187, 0.4914, 0.5715)  1 As 1.69
O (0.5853, 0.3147, 0.1552)  1 As 1.76
O (0.2475, 0.4133, 0.9015)  1 As 1.72
O (0.2368, 0.5340, 0.1066)  1 As 1.78
O (0.0853, 0.1853, 0.3448)  1 As 1.76
O (0.6813, 0.9914, 0.0715)  1 As 1.69
O (0.3173, 0.6178, 0.6210)  1 As 1.73
O (0.5624, 0.0674, 0.2448)  1 As 1.75
O (0.9206, 0.1793, 0.7956)  1 As 1.69
O (0.5794, 0.6793, 0.2956)  1 As 1.69
O (0.7632, 0.4660, 0.8934)  1 As 1.78
O (0.4147, 0.6853, 0.8448)  1 As 1.76
O (0.3187, 0.0086, 0.9285)  1 As 1.69
Zn (0.0982, 0.0062, 0.7262)  4 O 1.90-2.12
Zn (0.0000, 0.0000, 0.0000)  6 O 2.06-2.17
Zn (0.9018, 0.9938, 0.2738)  4 O 1.90-2.12
Zn (0.4018, 0.5062, 0.2262)  4 O 1.90-2.12
Zn (0.5000, 0.5000, 0.5000)  6 O 2.06-2.17
Zn (0.5982, 0.4938, 0.7738)  4 O 1.90-2.12
Mn (0.0000, 0.0000, 0.5000)  4 O 2.07-2.15
Mn (0.0372, 0.6605, 0.8780)  5 O 2.12-2.29
Mn (0.5372, 0.8395, 0.6220)  5 O 2.12-2.29
Mn (0.5000, 0.5000, 0.0000)  4 O 2.07-2.15
Mn (0.9628, 0.3395, 0.1220)  5 O 2.12-2.29
Mn (0.4628, 0.1605, 0.3780)  5 O 2.12-2.29

---

Entry 8:
A relaxed MnZnAsO6 crystal, computed with PBE+U.

Values from the calculation:
volume	187.6	Å³/cell
final energy	-5.9321	eV per atom
symmetry	No. 163
crystal system	trigonal
total magnetization	2.0	μB/f.u.

Unit cell a=4.9478 b=4.9478 c=8.8495 alpha=90.00 beta=90.00 gamma=120.00
Closest atoms and distances in Å follow each position.
Positions (direct):
O (0.0095, 0.3635, 0.1350)  1 As 1.86, 1 Mn 1.92
O (0.6460, 0.6365, 0.6350)  1 As 1.86, 1 Mn 1.92
O (0.9905, 0.6365, 0.8650)  1 As 1.86, 1 Mn 1.92
O (0.6365, 0.6460, 0.1350)  1 As 1.86, 1 Mn 1.92
O (0.6460, 0.0095, 0.8650)  1 As 1.86, 1 Mn 1.92
O (0.6365, 0.9905, 0.3650)  1 As 1.86, 1 Mn 1.92
O (0.3540, 0.3635, 0.3650)  1 As 1.86, 1 Mn 1.92
O (0.3635, 0.3540, 0.8650)  1 As 1.86, 1 Mn 1.92
O (0.0095, 0.6460, 0.3650)  1 As 1.86, 1 Mn 1.92
O (0.9905, 0.3540, 0.6350)  1 As 1.86, 1 Mn 1.92
O (0.3540, 0.9905, 0.1350)  1 As 1.86, 1 Mn 1.92
O (0.3635, 0.0095, 0.6350)  1 As 1.86, 1 Mn 1.92
Mn (0.6667, 0.3333, 0.2500)  6 O 1.92
Mn (0.3333, 0.6667, 0.7500)  6 O 1.92
As (0.3333, 0.6667, 0.2500)  6 O 1.86
As (0.6667, 0.3333, 0.7500)  6 O 1.86
Zn (0.0000, 0.0000, 0.0000)  6 O 2.14
Zn (0.0000, 0.0000, 0.5000)  6 O 2.14